## Ac2CoH2O6 (PBE with a Hubbard U)

Data for Ac2CoH2O6 after structural relaxation.

Structure (POSCAR):
```
Ac2CoH2O6
1.0
-3.243 0.610 -4.087
-3.610 -3.666 -1.058
-5.492 1.304 1.177
Ac Co H O
2 1 2 6
Cartesian
-9.155 -1.389 -3.069
-3.190 -0.363 -0.899
0.000 0.000 0.000
-7.010 -0.269 -1.228
-5.334 -1.483 -2.740
-6.439 -1.995 -3.596
-4.848 -2.294 -1.590
-4.668 -0.195 -3.076
-7.677 -1.557 -0.892
-7.497 0.542 -2.378
-5.905 0.242 -0.372
```

## Properties
**Magnetic moment**: 0.99 μB per cell
**N(E_F)**: 0.52 states/eV/f.u.
**DFT total energy**: -69.6 eV/f.u.